# ZnCl2F8, relaxed, DFT GGA-PBE
# Crystal system: monoclinic
# Magnetic moment (μB/f.u.): 3.97
# Uncorrected formation energy (eV/atom): -0.832
data_ZnCl2F8
_symmetry_space_group_name_H-M 'P 1'
_symmetry_Int_Tables_number 1
_cell_length_a 6.0852
_cell_length_b 6.0852
_cell_length_c 5.0473
_cell_angle_alpha 100.09
_cell_angle_beta 100.09
_cell_angle_gamma 72.73
loop_
_symmetry_equiv_pos_as_xyz
'x,y,z'
loop_
_atom_site_label
_atom_site_fract_x
_atom_site_fract_y
_atom_site_fract_z
Zn1 0.0000 0.0000 0.0000
Cl1 0.2759 0.2759 0.5160
Cl2 0.7241 0.7241 0.4840
F1 0.0784 0.7029 0.7645
F2 0.1683 0.1683 0.7574
F3 0.2971 0.9216 0.2355
F4 0.3764 0.3764 0.2839
F5 0.6236 0.6236 0.7161
F6 0.7029 0.0784 0.7645
F7 0.8317 0.8317 0.2426
F8 0.9216 0.2971 0.2355